Record 1
Ba3NaPt2O9: optimized geometry, GGA-PBE.

Unit cell a=5.8952 b=5.8952 c=7.2608 alpha=90.00 beta=90.00 gamma=120.00
With the nearest neighbours (Å) after each atom.
Space group P-3m1 (No. 164)
Inequivalent atoms, fractional coordinates:
Ba 0.0000 0.0000 0.0000 x1  12 O 2.92-2.95
Ba 0.3333 0.6667 0.6605 x2  12 O 2.96-3.00
Na 0.0000 0.0000 0.5000 x1  6 O 2.26
Pt 0.3333 0.6667 0.1619 x2  6 O 1.94-2.07
O 0.0000 0.5000 0.0000 x3  2 Pt 2.07
O 0.1781 0.3563 0.3149 x6  1 Pt 1.94

## Properties
**Total magnetization**: 3.0 μB/cell
**Volume**: 219 Å³ per cell
**Uncorrected formation energy**: -1.507 eV per atom

Record 2
Ba2NaPtO4: optimized geometry, GGA-PBE.

Unit cell a=5.3426 b=12.5550 c=19.1927 alpha=90.00 beta=90.00 gamma=90.00
With the nearest neighbours (Å) after each atom.
Space group Fddd (No. 70, origin choice 2)
Inequivalent atoms, fractional coordinates:
Ba 0.1250 0.1250 0.3038 x16  2 O 2.48
Na 0.1250 0.1250 0.1250 x8  4 O 2.19
Pt 0.1250 0.1250 0.6250 x8  4 O 2.04
O 0.1025 0.2519 0.8473 x32  1 Pt 2.04, 1 Na 2.19

## Properties
**Total magnetization**: 0.0 μB/cell
**Volume**: 1287 Å³ per cell
**Uncorrected formation energy**: -1.386 eV per atom

Record 3
Ba3NaPt2O8: optimized geometry, GGA-PBE.

Unit cell a=5.8309 b=5.8309 c=8.0777 alpha=90.00 beta=90.00 gamma=120.00
With the nearest neighbours (Å) after each atom.
Space group P-3m1 (No. 164)
Inequivalent atoms, fractional coordinates:
Ba 0.0000 0.0000 0.0000 x1  12 O 3.18-3.40
Ba 0.3333 0.6667 0.6201 x2  4 O 2.62-2.85
Na 0.0000 0.0000 0.5000 x1  6 O 2.31
Pt 0.3333 0.6667 0.1739 x2  4 O 1.85-1.97
O 0.1795 0.3590 0.3237 x6  1 Pt 1.97
O 0.3333 0.6667 0.9443 x2  1 Pt 1.85

## Properties
**Total magnetization**: 0.0 μB/cell
**Volume**: 238 Å³ per cell
**Uncorrected formation energy**: -1.332 eV per atom

Record 4
Ba3Na2PuO6: optimized geometry, GGA-PBE.

Unit cell a=6.4790 b=11.2270 c=6.3434 alpha=90.00 beta=108.75 gamma=90.00
With the nearest neighbours (Å) after each atom.
Space group C2/m (No. 12)
Inequivalent atoms, fractional coordinates:
Ba 0.0000 0.0000 0.0000 x2  6 O 2.65-2.90
Ba 0.0000 0.3255 0.0000 x4  6 O 2.64-2.94
Na 0.0000 0.1677 0.5000 x4  6 O 2.63-2.75
Pu 0.0000 0.5000 0.5000 x2  6 O 2.28-2.32
O 0.2076 0.5000 0.2629 x4  1 Pu 2.32
O 0.2175 0.3571 0.7170 x8  1 Pu 2.28

## Properties
**Total magnetization**: 8.0 μB/cell
**Volume**: 437 Å³ per cell
**Uncorrected formation energy**: -2.311 eV per atom

Record 5
Ba2Na2PuO6: optimized geometry, GGA-PBE.

Unit cell a=6.4561 b=6.4561 c=16.3934 alpha=90.00 beta=90.00 gamma=120.00
With the nearest neighbours (Å) after each atom.
Space group R-3m (No. 166, hexagonal axes)
Inequivalent atoms, fractional coordinates:
Ba 0.0000 0.0000 0.2128 x6  3 O 2.68
Na 0.0000 0.0000 0.4187 x6  3 O 2.13
Pu 0.0000 0.0000 0.0000 x3  6 O 2.08
O 0.0474 0.5237 0.7480 x18  1 Pu 2.08, 1 Na 2.13

## Properties
**Total magnetization**: 6.0 μB/cell
**Volume**: 592 Å³ per cell
**Uncorrected formation energy**: -2.272 eV per atom

Record 6
BaNaPuO3: optimized geometry, GGA-PBE.

Unit cell a=6.6302 b=3.6782 c=9.3854 alpha=90.00 beta=102.26 gamma=90.00
With the nearest neighbours (Å) after each atom.
Space group P2_1/m (No. 11)
Inequivalent atoms, fractional coordinates:
Ba 0.1287 0.2500 0.1856 x2  4 O 2.60-2.91
Na 0.1823 0.7500 0.5477 x2  4 O 2.28-2.47
Pu 0.3758 0.2500 0.8418 x2  6 O 2.28-2.47
O 0.0572 0.2500 0.6811 x2  1 Pu 2.32, 3 Na 2.38-2.47
O 0.2872 0.7500 0.9930 x2  3 Pu 2.43-2.47
O 0.4723 0.7500 0.7285 x2  1 Na 2.28, 2 Pu 2.28

## Properties
**Total magnetization**: 10.0 μB/cell
**Volume**: 224 Å³ per cell
**Uncorrected formation energy**: -2.370 eV per atom

Record 7
BaNaPuO4: optimized geometry, GGA-PBE.

Unit cell a=4.3622 b=4.3622 c=12.9468 alpha=90.00 beta=90.00 gamma=90.00
With the nearest neighbours (Å) after each atom.
Space group I4mm (No. 107)
Inequivalent atoms, fractional coordinates:
Ba 0.0000 0.0000 0.0000 x2  1 O 2.53
Na 0.0000 0.0000 0.7041 x2  1 O 2.50
Pu 0.0000 0.0000 0.3497 x2  6 O 2.00-2.18
O 0.0000 0.0000 0.1955 x2  1 Pu 2.00
O 0.0000 0.0000 0.5108 x2  1 Pu 2.09
O 0.0000 0.5000 0.3567 x4  2 Pu 2.18

## Properties
**Total magnetization**: 6.0 μB/cell
**Volume**: 246 Å³ per cell
**Uncorrected formation energy**: -2.570 eV per atom

Record 8
Ba2NaPuO6: optimized geometry, GGA-PBE.

Unit cell a=6.1725 b=6.1497 c=10.6279 alpha=90.00 beta=125.31 gamma=90.00
With the nearest neighbours (Å) after each atom.
Space group P2_1/c (No. 14)
Inequivalent atoms, fractional coordinates:
Ba 0.2464 0.0262 0.2511 x4  6 O 2.71-2.96
Na 0.5000 0.0000 0.0000 x2  6 O 2.40-2.42
Pu 0.0000 0.0000 0.5000 x2  6 O 2.02
O 0.1576 0.2428 0.9609 x4  1 Pu 2.02
O 0.2211 0.7004 0.9665 x4  1 Pu 2.02
O 0.2954 0.0165 0.7270 x4  1 Pu 2.02

## Properties
**Total magnetization**: 2.0 μB/cell
**Volume**: 329 Å³ per cell
**Uncorrected formation energy**: -2.597 eV per atom

Record 9
BaNaPu2O8: optimized geometry, GGA-PBE.

Unit cell a=5.6878 b=5.6878 c=10.4355 alpha=90.00 beta=90.00 gamma=90.00
With the nearest neighbours (Å) after each atom.
Space group I-4 (No. 82)
Inequivalent atoms, fractional coordinates:
Ba 0.0000 0.0000 0.0000 x2  8 O 2.59-2.63
Na 0.0000 0.5000 0.2500 x2  8 O 2.51-2.54
Pu 0.0000 0.0000 0.5000 x2  4 O 2.08
Pu 0.0000 0.5000 0.7500 x2  4 O 2.10
O 0.2034 0.2632 0.6434 x8  1 Pu 2.10
O 0.2051 0.7783 0.6122 x8  1 Pu 2.08

## Properties
**Total magnetization**: 6.0 μB/cell
**Volume**: 338 Å³ per cell
**Uncorrected formation energy**: -2.173 eV per atom

Record 10
BaNa2PuO6: optimized geometry, GGA-PBE.

Unit cell a=5.9580 b=6.2827 c=10.3604 alpha=90.00 beta=124.33 gamma=90.00
With the nearest neighbours (Å) after each atom.
Space group P2_1/c (No. 14)
Inequivalent atoms, fractional coordinates:
Ba 0.0000 0.0000 0.0000 x2  6 O 2.58-2.82
Na 0.2277 0.0276 0.7214 x4  5 O 2.36-2.55
Pu 0.5000 0.0000 0.5000 x2  6 O 1.96-1.99
O 0.1816 0.1430 0.4714 x4  1 Pu 1.96
O 0.2650 0.7473 0.3962 x4  1 Pu 1.98
O 0.4106 0.1132 0.2962 x4  1 Pu 1.99

## Properties
**Total magnetization**: 0.0 μB/cell
**Volume**: 320 Å³ per cell
**Uncorrected formation energy**: -2.166 eV per atom

Record 11
BaNaRe2O: optimized geometry, GGA-PBE.

Unit cell a=5.4821 b=5.4821 c=4.3569 alpha=90.00 beta=90.00 gamma=90.00
With the nearest neighbours (Å) after each atom.
Space group P4/mmm (No. 123)
Inequivalent atoms, fractional coordinates:
Ba 0.0000 0.0000 0.0000 x1  8 Re 3.50, 4 O 3.88
Na 0.5000 0.5000 0.5000 x1  2 O 2.18
Re 0.0000 0.5000 0.5000 x2  2 Na 2.74
O 0.5000 0.5000 0.0000 x1  2 Na 2.18

## Properties
**Total magnetization**: 9.0 μB/cell
**Volume**: 131 Å³ per cell
**Uncorrected formation energy**: 2.038 eV per atom

Record 12
Ba4NaRe3O12: optimized geometry, GGA-PBE.

Unit cell a=8.2395 b=8.2395 c=8.2395 alpha=90.00 beta=90.00 gamma=90.00
With the nearest neighbours (Å) after each atom.
Space group Im-3m (No. 229)
Inequivalent atoms, fractional coordinates:
Ba 0.2500 0.2500 0.2500 x8  12 O 2.91-2.92
Na 0.0000 0.0000 0.0000 x2  6 O 2.23
Re 0.0000 0.0000 0.5000 x6  6 O 1.89-2.06
O 0.0000 0.0000 0.2710 x12  1 Re 1.89
O 0.0000 0.2500 0.5000 x12  2 Re 2.06

## Properties
**Total magnetization**: 0.0 μB/cell
**Volume**: 559 Å³ per cell
**Uncorrected formation energy**: -2.117 eV per atom

Record 13
Ba3Na3ReO8: optimized geometry, GGA-PBE.

Unit cell a=7.4023 b=7.4023 c=17.9116 alpha=90.00 beta=90.00 gamma=120.00
With the nearest neighbours (Å) after each atom.
Space group R-3m (No. 166, hexagonal axes)
Inequivalent atoms, fractional coordinates:
Ba 0.0000 0.5000 0.0000 x9  6 O 2.63-2.69
Na 0.0000 0.5000 0.5000 x9  6 O 2.59-2.70
Re 0.0000 0.0000 0.5000 x3  6 O 1.92
O 0.0000 0.0000 0.2479 x6  3 Na 2.59, 3 Ba 2.63
O 0.0879 0.5439 0.2283 x18  1 Re 1.92

## Properties
**Total magnetization**: 0.4 μB/cell
**Volume**: 850 Å³ per cell
**Uncorrected formation energy**: -1.981 eV per atom

Record 14
BaNaRe2O8: optimized geometry, GGA-PBE.

Unit cell a=6.0126 b=6.0126 c=7.5970 alpha=90.00 beta=90.00 gamma=120.00
With the nearest neighbours (Å) after each atom.
Space group P-3m1 (No. 164)
Inequivalent atoms, fractional coordinates:
Ba 0.0000 0.0000 0.0000 x1  6 O 2.80
Na 0.0000 0.0000 0.5000 x1  6 O 2.40
Re 0.3333 0.6667 0.7827 x2  4 O 1.78
O 0.1699 0.3398 0.7142 x6  1 Re 1.78
O 0.3333 0.6667 0.0168 x2  1 Re 1.78

## Properties
**Total magnetization**: 1.1 μB/cell
**Volume**: 238 Å³ per cell
**Uncorrected formation energy**: -1.922 eV per atom

Record 15
BaNaReO4: optimized geometry, GGA-PBE.

Unit cell a=9.0871 b=9.0871 c=9.0871 alpha=90.00 beta=90.00 gamma=90.00
With the nearest neighbours (Å) after each atom.
Space group F-43m (No. 216)
Inequivalent atoms, fractional coordinates:
Ba 0.0000 0.0000 0.0000 x4  12 O 3.80, 4 Na 3.93
Na 0.2500 0.2500 0.7500 x4  4 O 2.13
Re 0.0000 0.0000 0.5000 x4  4 O 1.81
O 0.1149 0.1149 0.6149 x16  1 Re 1.81

## Properties
**Total magnetization**: 4.6 μB/cell
**Volume**: 750 Å³ per cell
**Uncorrected formation energy**: -1.466 eV per atom

Record 16
BaNa2ReO6: optimized geometry, GGA-PBE.

Unit cell a=5.7323 b=5.9100 c=6.1500 alpha=116.58 beta=91.33 gamma=118.63
With the nearest neighbours (Å) after each atom.
Space group P1 (No. 1)
Inequivalent atoms, fractional coordinates:
Ba 0.0000 0.0000 0.0000 x1  5 O 2.56-2.82
Na 0.2650 0.5442 0.8050 x1  6 O 2.36-2.61
Na 0.7772 0.5568 0.3434 x1  6 O 2.28-2.55
Re 0.4910 0.9849 0.4520 x1  5 O 1.82-2.04
O 0.1227 0.7290 0.1725 x1  1 Re 2.04, 1 O 2.23, 1 Na 2.28
O 0.2668 0.8444 0.6317 x1  1 Re 1.85
O 0.3879 0.5571 0.1981 x1  1 Re 2.04, 1 O 2.23
O 0.5335 0.3540 0.6157 x1  1 Re 1.83
O 0.6341 0.0691 0.2049 x1  1 Re 1.89
O 0.8051 0.0458 0.6113 x1  1 Re 1.82

## Properties
**Total magnetization**: 1.0 μB/cell
**Volume**: 156 Å³ per cell
**Uncorrected formation energy**: -1.783 eV per atom

Record 17
Ba2NaRh3O8: optimized geometry, GGA-PBE.

Unit cell a=6.4635 b=6.4635 c=18.3458 alpha=90.00 beta=90.00 gamma=120.00
With the nearest neighbours (Å) after each atom.
Space group R3m (No. 160, hexagonal axes)
Inequivalent atoms, fractional coordinates:
Ba 0.0000 0.0000 0.0000 x3  4 O 2.54-2.58
Ba 0.0000 0.0000 0.3628 x3  6 O 2.58-2.66
Na 0.0000 0.0000 0.8307 x3  3 O 2.16
Rh 0.1690 0.3381 0.1945 x9  6 O 2.02-2.14
O 0.0000 0.0000 0.1405 x3  3 Rh 2.14
O 0.0000 0.0000 0.5833 x3  3 Rh 2.10
O 0.0434 0.5217 0.1388 x9  2 Rh 2.02, 1 Na 2.16
O 0.1823 0.3647 0.9177 x9  2 Rh 2.08

## Properties
**Total magnetization**: 0.0 μB/cell
**Volume**: 664 Å³ per cell
**Uncorrected formation energy**: -1.360 eV per atom

Record 18
Ba4NaRh3O12: optimized geometry, GGA-PBE.

Unit cell a=8.2910 b=8.2910 c=8.2910 alpha=90.00 beta=90.00 gamma=90.00
With the nearest neighbours (Å) after each atom.
Space group Im-3m (No. 229)
Inequivalent atoms, fractional coordinates:
Ba 0.2500 0.2500 0.2500 x8  12 O 2.93-2.94
Na 0.0000 0.0000 0.0000 x2  6 O 2.24
Rh 0.0000 0.0000 0.5000 x6  6 O 1.90-2.07
O 0.0000 0.0000 0.2706 x12  1 Rh 1.90
O 0.0000 0.2500 0.5000 x12  2 Rh 2.07

## Properties
**Total magnetization**: 14.5 μB/cell
**Volume**: 570 Å³ per cell
**Uncorrected formation energy**: -1.557 eV per atom

Record 19
Ba2NaRhO: optimized geometry, GGA-PBE.

Unit cell a=5.3899 b=5.3899 c=4.4905 alpha=90.00 beta=90.00 gamma=90.00
With the nearest neighbours (Å) after each atom.
Space group P4/mmm (No. 123)
Inequivalent atoms, fractional coordinates:
Ba 0.0000 0.5000 0.0000 x2  2 O 2.69
Na 0.0000 0.0000 0.5000 x1  2 O 2.25
Rh 0.5000 0.5000 0.5000 x1  8 Ba 3.51, 4 Na 3.81
O 0.0000 0.0000 0.0000 x1  2 Na 2.25

## Properties
**Total magnetization**: 0.1 μB/cell
**Volume**: 130 Å³ per cell
**Uncorrected formation energy**: -0.870 eV per atom

Record 20
Ba2Na3RhO6: optimized geometry, GGA-PBE.

Unit cell a=6.1976 b=11.3504 c=5.8928 alpha=90.00 beta=108.95 gamma=90.00
With the nearest neighbours (Å) after each atom.
Space group C2/m (No. 12)
Inequivalent atoms, fractional coordinates:
Ba 0.0000 0.1702 0.0000 x4  6 O 2.62-2.73
Na 0.0000 0.0000 0.5000 x2  4 O 2.51
Na 0.0000 0.3767 0.5000 x4  4 O 2.31-2.34
Rh 0.0000 0.5000 0.0000 x2  6 O 2.05-2.06
O 0.1958 0.3733 0.2207 x8  1 Rh 2.05
O 0.2160 0.5000 0.7987 x4  1 Rh 2.06

## Properties
**Total magnetization**: 4.0 μB/cell
**Volume**: 392 Å³ per cell
**Uncorrected formation energy**: -1.564 eV per atom